DFT (PBE-GGA) results for crystalline CaTi2TlRh at its relaxed geometry.

POSCAR file:
```
CaTi2TlRh
1.0
5.036 0.000 0.000
0.000 5.524 0.000
0.000 0.000 5.036
Tl Rh Ca Ti
1 1 1 2
Direct
0.000 0.000 0.000
0.500 0.500 0.500
0.000 0.500 0.000
0.000 0.000 0.500
0.500 0.000 0.000
```

Properties
Crystal system = tetragonal
Formation energy from the elements = 1264 meV/atom
Space-group type = P4/mmm

=====

DFT (PBE-GGA) results for crystalline Sc4SnHgS at its relaxed geometry.

POSCAR file:
```
Sc4SnHgS
1.0
6.666 0.000 0.000
0.000 6.668 0.000
-3.333 0.000 7.434
Sc Sn Hg S
8 2 2 2
Direct
0.925 0.250 0.849
0.416 0.750 0.833
0.075 0.750 0.151
0.584 0.250 0.167
0.500 0.500 0.500
0.000 0.000 0.500
0.500 0.000 0.500
0.000 0.500 0.500
0.614 0.750 0.227
0.386 0.250 0.773
0.118 0.250 0.236
0.882 0.750 0.764
0.246 0.750 0.492
0.754 0.250 0.508
```

Properties
Formation energy from raw total energies = -5.241 eV per formula unit
Crystal system = orthorhombic
Space-group type = Cmcm

=====

DFT (PBE-GGA) results for crystalline ZrSb2Rh at its relaxed geometry.

POSCAR file:
```
ZrSb2Rh
1.0
-1.773 -3.460 3.052
3.007 -2.215 3.238
-0.436 0.954 4.830
Rh Sb Zr
1 2 1
Direct
0.500 0.500 0.500
0.000 0.000 0.000
0.750 0.750 0.750
0.250 0.250 0.250
```

Properties
Formation energy from raw total energies = -0.375 eV per formula unit
Crystal system = cubic
Space-group type = F-43m

=====

DFT (PBE-GGA) results for crystalline BaBi at its relaxed geometry.

POSCAR file:
```
BaBi
1.0
7.210 0.000 0.000
0.000 7.210 0.000
0.000 0.000 7.210
Ba Bi
4 4
Direct
0.000 0.000 0.000
0.000 0.500 0.500
0.500 0.000 0.500
0.500 0.500 0.000
0.500 0.500 0.500
0.500 0.000 0.000
0.000 0.500 0.000
0.000 0.000 0.500
```

Properties
Crystal system = cubic
Formation energy from the elements = -616 meV/atom
Space-group type = Fm-3m

=====

DFT (PBE-GGA) results for crystalline Ce3Pm2Pb4 at its relaxed geometry.

POSCAR file:
```
Ce3Pm2Pb4
1.0
4.958 0.000 -1.386
-0.491 6.652 -1.758
-0.224 0.131 8.759
Ce Pm Pb
3 2 4
Direct
0.112 0.574 0.224
0.888 0.426 0.776
0.000 0.000 0.000
0.667 0.085 0.334
0.333 0.915 0.666
0.495 0.717 0.990
0.253 0.307 0.506
0.505 0.283 0.010
0.747 0.693 0.494
```

Properties
E above lowest polymorph = 0 meV/atom
Crystal system = monoclinic
Formation energy from the elements = -372 meV/atom
Space-group type = C2/m

=====

DFT (PBE-GGA) results for crystalline FeTeH2 at its relaxed geometry.

POSCAR file:
```
FeTeH2
1.0
3.519 1.379 1.278
0.266 1.805 3.548
1.873 -1.809 3.023
H Te Fe
2 1 1
Direct
0.250 0.250 0.250
0.750 0.750 0.750
0.500 0.500 0.500
0.000 0.000 0.000
```

Properties
E above lowest polymorph = 445 meV/atom
Crystal system = cubic
Space-group type = Fm-3m

=====

DFT (PBE-GGA) results for crystalline RbNbFeTePd at its relaxed geometry.

POSCAR file:
```
RbNbFeTePd
1.0
-1.252 2.843 -2.821
0.281 -4.046 -1.080
-8.026 -1.188 2.364
Nb Te Rb Pd Fe
1 1 1 1 1
Direct
0.333 0.667 0.071
0.667 0.333 0.864
0.333 0.667 0.527
0.667 0.333 0.225
0.000 0.000 0.041
```

Properties
E above lowest polymorph = 40 meV/atom
Formation energy from raw total energies = 0.049 eV per formula unit
Crystal system = trigonal
Space-group type = P3m1

=====

DFT (PBE-GGA) results for crystalline ZrIn2Sb at its relaxed geometry.

POSCAR file:
```
ZrIn2Sb
1.0
5.733 0.000 0.000
0.000 3.238 -0.248
0.000 0.182 5.258
In Sb Zr
2 1 1
Direct
0.000 0.015 0.993
0.000 0.485 0.507
0.500 0.250 0.250
0.500 0.750 0.750
```

Properties
Formation energy from raw total energies = -0.266 eV per formula unit
Crystal system = monoclinic
Space-group type = P2/m

=====

DFT (PBE-GGA) results for crystalline Ho2ZrSc6 at its relaxed geometry.

POSCAR file:
```
Ho2ZrSc6
1.0
5.936 -0.453 1.365
1.781 8.613 0.438
-0.859 -1.105 8.694
Ho Zr Sc
4 2 12
Direct
0.124 0.618 0.673
0.376 0.327 0.382
0.876 0.382 0.327
0.624 0.673 0.618
0.250 0.116 0.884
0.750 0.884 0.116
0.497 0.666 0.279
0.003 0.721 0.334
0.503 0.334 0.721
0.997 0.279 0.666
0.740 0.046 0.456
0.760 0.544 0.954
0.260 0.954 0.544
0.240 0.456 0.046
0.317 0.785 0.961
0.183 0.039 0.215
0.683 0.215 0.039
0.817 0.961 0.785
```

Properties
E above lowest polymorph = 46 meV/atom
Crystal system = monoclinic
Formation energy from the elements = 115 meV/atom
Space-group type = C2/c

=====

DFT (PBE-GGA) results for crystalline KMnTe2 at its relaxed geometry.

POSCAR file:
```
KMnTe2
1.0
-7.081 -4.084 -3.433
-2.710 -7.068 -4.616
4.482 4.256 6.356
K Mn Te
1 1 2
Direct
0.448 0.448 0.000
0.200 0.700 0.500
0.081 0.081 0.000
0.772 0.272 0.500
```

Properties
Formation energy from raw total energies = -1.394 eV per formula unit
Crystal system = orthorhombic
Space-group type = Imm2

=====

DFT (PBE-GGA) results for crystalline Ce3Pb at its relaxed geometry.

POSCAR file:
```
Ce3Pb
1.0
5.442 0.000 0.000
2.721 4.713 0.000
2.721 1.571 4.443
Pb Ce
1 3
Direct
0.500 0.500 0.500
0.000 0.000 0.000
0.750 0.750 0.750
0.250 0.250 0.250
```

Properties
Crystal system = cubic
Formation energy from the elements = -85 meV/atom
Space-group type = Fm-3m

=====

DFT (PBE-GGA) results for crystalline Li8ThO6 at its relaxed geometry.

POSCAR file:
```
Li8ThO6
1.0
5.069 0.000 2.660
1.837 4.725 2.660
-0.152 -0.104 6.449
Li Th O
8 1 6
Direct
0.493 0.229 0.376
0.771 0.098 0.624
0.098 0.507 0.624
0.633 0.633 0.101
0.367 0.367 0.899
0.902 0.493 0.376
0.229 0.902 0.376
0.507 0.771 0.624
0.000 0.000 0.000
0.395 0.108 0.738
0.892 0.241 0.262
0.241 0.605 0.262
0.759 0.395 0.738
0.108 0.759 0.738
0.605 0.892 0.262
```

Properties
Formation energy from raw total energies = -33.018 eV per formula unit
Crystal system = trigonal
Space-group type = R-3

=====

What did the first record say?
DFT (PBE-GGA) results for crystalline CaTi2TlRh at its relaxed geometry.

POSCAR file:
```
CaTi2TlRh
1.0
5.036 0.000 0.000
0.000 5.524 0.000
0.000 0.000 5.036
Tl Rh Ca Ti
1 1 1 2
Direct
0.000 0.000 0.000
0.500 0.500 0.500
0.000 0.500 0.000
0.000 0.000 0.500
0.500 0.000 0.000
```

Properties
Crystal system = tetragonal
Formation energy from the elements = 1264 meV/atom
Space-group type = P4/mmm